PBEsol Zr2N2O, relaxed; energy relative to the elements, uncorrected = -2.20 eV/atom; spin magnetization = 0.00 Bohr magnetons per cell; mass density = 6.3 g/cm³; total energy = -10.30 eV/atom
1.0
3.290 0.000 0.000
-1.645 6.745 0.012
0.000 -2.871 16.137
Zr N O
12 12 6
Direct
0.969 0.938 0.099
0.970 0.941 0.595
0.365 0.730 0.262
0.305 0.610 0.432
0.370 0.741 0.763
0.690 0.380 0.064
0.307 0.614 0.936
0.634 0.268 0.240
0.697 0.395 0.568
0.630 0.260 0.738
0.042 0.085 0.403
0.031 0.062 0.903
0.466 0.932 0.176
0.828 0.656 0.019
0.466 0.931 0.670
0.879 0.757 0.354
0.829 0.659 0.515
0.872 0.745 0.856
0.194 0.388 0.317
0.127 0.253 0.139
0.174 0.347 0.487
0.128 0.256 0.644
0.172 0.344 0.980
0.533 0.066 0.827
0.785 0.570 0.192
0.792 0.584 0.690
0.210 0.421 0.809
0.529 0.058 0.328
0.506 0.012 0.494
0.500 0.000 0.000


PBEsol CoAg2TePd, relaxed; energy relative to the elements, uncorrected = 0.92 eV/atom; spin magnetization = 2.38 Bohr magnetons per cell; mass density = 7.7 g/cm³; total energy = -3.85 eV/atom
1.0
4.500 0.000 0.000
0.000 4.935 0.000
0.000 0.000 4.935
Te Co Pd Ag
1 1 1 2
Direct
0.500 0.500 0.500
0.500 0.000 0.000
0.000 0.000 0.000
0.000 0.000 0.500
0.000 0.500 0.000


PBEsol VF5, relaxed; energy relative to the elements, uncorrected = -2.72 eV/atom; spin magnetization = 0.00 Bohr magnetons per cell; mass density = 2.6 g/cm³; total energy = -5.93 eV/atom
1.0
-3.720 -3.851 -0.733
0.373 -1.626 6.992
-7.030 6.435 1.871
V F
4 20
Direct
0.007 0.559 0.613
0.490 0.114 0.215
0.510 0.886 0.715
0.993 0.441 0.113
0.007 0.407 0.752
0.008 0.767 0.522
0.242 0.313 0.227
0.242 0.456 0.524
0.228 0.546 0.024
0.254 0.954 0.205
0.278 0.047 0.706
0.257 0.689 0.727
0.491 0.175 0.042
0.489 0.140 0.392
0.511 0.860 0.892
0.509 0.825 0.542
0.743 0.311 0.227
0.722 0.953 0.206
0.746 0.046 0.705
0.772 0.454 0.524
0.758 0.544 0.024
0.758 0.687 0.727
0.992 0.233 0.022
0.993 0.593 0.252


PBEsol Li3CdN, relaxed; energy relative to the elements, uncorrected = -0.22 eV/atom; spin magnetization = 0.00 Bohr magnetons per cell; mass density = 3.8 g/cm³; total energy = -3.35 eV/atom
1.0
-0.263 3.958 0.671
-0.885 0.599 -3.878
-3.916 -0.401 0.832
N Li Cd
1 3 1
Direct
0.000 0.000 0.000
0.000 0.500 0.000
0.000 0.000 0.500
0.500 0.000 0.000
0.500 0.500 0.500


spin magnetization of number 1 (Zr2N2O)?
0.00 Bohr magnetons per cell


total energy of number 1 (Zr2N2O)?
-10.30 eV/atom


Number 3 is which compound?
VF5


energy relative to the elements, uncorrected of number 3 (VF5)?
-2.72 eV/atom